Computed, not measured: an optimized crystal structure of Zr3MnPb at the PBE level of DFT.

Cell lengths 5.3267, 5.3267, 5.3267 Å; angles 90.00, 90.00, 90.00 degrees
Site moments in Bohr magnetons follow the coordinates.
Fractional coordinates of all 5 atoms:
Pb: 0.0000 0.0000 0.0000  0.00
Zr: 0.0000 0.5000 0.0000  -0.04
Mn: 0.5000 0.5000 0.5000  0.15
Zr: 0.0000 0.0000 0.5000  0.05
Zr: 0.5000 0.0000 0.0000  -0.10

Output
Energy of formation, meV per atom: 1834
ΔE to the lowest computed polymorph, kJ per mole of atoms: 159.7
Magnetic moment, μB per formula unit: 0.2